Record 1
Here is a relaxed La4Ce3SmTe8 crystal from Alexandria via LeMat-Bulk. Energies are from PBE.

a = 9.050 Å, b = 9.078 Å, c = 9.047 Å
α = 119.86°, β = 120.01°, γ = 90.00°
Fractional positions:
Ce 0.000 0.500 0.500
Ce 0.500 0.500 0.000
Ce 0.500 0.500 0.500
Te 0.247 0.743 0.996
Te 0.753 0.257 0.506
Te 0.753 0.257 0.004
Te 0.251 0.257 0.004
Te 0.748 0.744 0.496
Te 0.247 0.743 0.494
Te 0.749 0.743 0.996
Te 0.252 0.256 0.504
La 0.500 0.000 0.000
La 0.500 0.000 0.500
La 0.000 0.000 0.000
La 0.000 0.000 0.500
Sm 0.000 0.500 0.000

Values from the calculation:
As for the symmetry: R-3m. The value obtained for the raw total energy is -0.4185 Ry/atom. The calculation puts the density of states at the Fermi level at 1.711 states/eV per atom.



Record 2
Here is a relaxed AcScH6Ru2 crystal from Alexandria via LeMat-Bulk. Energies are from PBE.

a = 4.748 Å, b = 4.748 Å, c = 6.175 Å
α = 67.39°, β = 67.39°, γ = 60.00°
Fractional positions:
Sc 0.500 0.500 0.500
H 0.942 0.425 0.207
H 0.575 0.575 0.793
H 0.425 0.425 0.207
H 0.058 0.575 0.793
H 0.575 0.058 0.793
H 0.425 0.942 0.207
Ru 0.200 0.200 0.399
Ru 0.800 0.800 0.601
Ac 0.000 0.000 0.000

Values from the calculation:
As for the symmetry: R-3m. The value obtained for the raw total energy is -0.3912 Ry/atom. The calculation puts the density of states at the Fermi level at 0.460 states/eV per atom.



Record 3
Here is a relaxed LaGe2Pd2 crystal from Alexandria via LeMat-Bulk. Energies are from PBE.

a = 7.841 Å, b = 7.841 Å, c = 3.132 Å
α = 90.00°, β = 90.00°, γ = 90.00°
Fractional positions:
La 0.000 0.000 0.000
La 0.500 0.500 0.000
Ge 0.160 0.660 0.500
Ge 0.660 0.840 0.500
Ge 0.340 0.160 0.500
Ge 0.840 0.340 0.500
Pd 0.375 0.875 0.000
Pd 0.625 0.125 0.000
Pd 0.125 0.375 0.000
Pd 0.875 0.625 0.000

Values from the calculation:
For the formation energy, the calculation gives -0.469 eV per atom. As for the symmetry: P4/mbm. The value obtained for the raw total energy is -0.3954 Ry/atom. The calculation puts the density of states at the Fermi level at 0.611 states/eV per atom.



Record 4
Here is a relaxed BaScRh crystal from Alexandria via LeMat-Bulk. Energies are from PBE.

a = 4.826 Å, b = 4.826 Å, c = 4.826 Å
α = 60.00°, β = 60.00°, γ = 60.00°
Fractional positions:
Ba 0.750 0.750 0.750
Rh 0.000 0.000 0.000
Sc 0.500 0.500 0.500

Values from the calculation:
For the formation energy, the calculation gives 0.788 eV per atom. As for the symmetry: F-43m. As for the energy above the most stable polymorph in this dataset: 1074.3 meV per atom. The value obtained for the raw total energy is -0.3244 Ry/atom. The calculation puts the density of states at the Fermi level at 0.938 states/eV per atom.



Record 5
Here is a relaxed TaInSi2Ni crystal from Alexandria via LeMat-Bulk. Energies are from PBE.

a = 4.846 Å, b = 5.349 Å, c = 4.846 Å
α = 90.00°, β = 90.00°, γ = 90.00°
Fractional positions:
In 0.000 0.500 0.000
Ta 0.000 0.000 0.000
Si 0.000 0.000 0.500
Si 0.500 0.000 0.000
Ni 0.500 0.500 0.500

Values from the calculation:
As for the symmetry: P4/mmm. The value obtained for the raw total energy is -0.3753 Ry/atom. The calculation puts the density of states at the Fermi level at 1.383 states/eV per atom.



Record 6
Here is a relaxed AgSn crystal from Alexandria via LeMat-Bulk. Energies are from PBE.

a = 5.728 Å, b = 5.728 Å, c = 5.868 Å
α = 90.00°, β = 90.00°, γ = 90.00°
Fractional positions:
Ag 0.797 0.203 0.000
Ag 0.703 0.703 0.500
Ag 0.203 0.797 0.000
Ag 0.297 0.297 0.500
Sn 0.793 0.207 0.500
Sn 0.707 0.707 0.000
Sn 0.207 0.793 0.500
Sn 0.293 0.293 0.000

Values from the calculation:
For the formation energy, the calculation gives 0.169 eV per atom. As for the symmetry: P4_2/mnm. The value obtained for the raw total energy is -0.2394 Ry/atom. The calculation puts the density of states at the Fermi level at 0.637 states/eV per atom.



Record 7
Here is a relaxed Sc4Ga2Pt crystal from Alexandria via LeMat-Bulk. Energies are from PBE.

a = 4.690 Å, b = 4.690 Å, c = 8.078 Å
α = 73.13°, β = 73.13°, γ = 60.00°
Fractional positions:
Sc 0.623 0.623 0.130
Sc 0.875 0.875 0.375
Sc 0.377 0.377 0.870
Sc 0.125 0.125 0.625
Ga 0.754 0.754 0.739
Ga 0.246 0.246 0.261
Pt 0.000 0.000 0.000

Values from the calculation:
For the formation energy, the calculation gives -0.628 eV per atom. As for the symmetry: R-3m. As for the energy above the most stable polymorph in this dataset: 0.0 meV per atom. The value obtained for the raw total energy is -0.4390 Ry/atom. The calculation puts the density of states at the Fermi level at 0.933 states/eV per atom.



Record 8
Here is a relaxed NaLi2Te2 crystal from Alexandria via LeMat-Bulk. Energies are from PBE.

a = 4.755 Å, b = 4.756 Å, c = 11.437 Å
α = 89.89°, β = 90.00°, γ = 90.00°
Fractional positions:
Li 0.250 0.751 0.867
Li 0.750 0.249 0.133
Li 0.750 0.750 0.500
Li 0.250 0.250 0.500
Te 0.250 0.749 0.635
Te 0.750 0.251 0.365
Te 0.750 0.750 0.000
Te 0.250 0.250 0.000
Na 0.750 0.255 0.742
Na 0.250 0.745 0.258

Values from the calculation:
As for the symmetry: P2_1/m. As for the energy above the most stable polymorph in this dataset: 0.0 meV per atom. The value obtained for the raw total energy is -0.2293 Ry/atom. The calculation puts the density of states at the Fermi level at 0.161 states/eV per atom.



Which of these has the highest raw total energy?
NaLi2Te2